Below is an optimized crystal structure of PuSbH2, with properties calculated at the GGA-PBE level.

CIF file:
```
data_PuSbH2
_chemical_formula_sum 'Pu3 Sb3 H6'
_cell_length_a 3.6355
_cell_length_b 3.6355
_cell_length_c 15.6377
_cell_angle_alpha 90.00
_cell_angle_beta 90.00
_cell_angle_gamma 120.00
_space_group_name_H-M_alt 'R -3 m'
_space_group_IT_number 166
_space_group_name_Hall '-R 3 2"'
loop_
_atom_site_label
_atom_site_type_symbol
_atom_site_fract_x
_atom_site_fract_y
_atom_site_fract_z
_atom_site_occupancy
Pu1 Pu 0.0000 0.0000 0.0000 1
Sb1 Sb 0.0000 0.0000 0.5000 1
H1 H 0.0000 0.0000 0.3027 1
```

* total magnetic moment: 13.72 μB/cell
* final energy: -6.577 eV/atom